Below is a geometry-optimized Pr3Dy2Mg2 structure, with properties calculated at the GGA-PBE level.

a = 5.3528 Å, b = 23.6721 Å, c = 3.5140 Å
α = 90.00°, β = 90.00°, γ = 90.00°
Last column: nearest neighbours and their distance in Å.
Space group Cmmm (No. 65)
Unique sites:
Pr (0.0000, 0.0000, 0.0000)  4 Pr 3.51-3.53, 8 Mg 3.60
Pr (0.0000, 0.1493, 0.0000)  3 Pr 3.51-3.53, 6 Dy 3.53-3.72, 4 Mg 3.72
Dy (0.0000, 0.2877, 0.5000)  4 Dy 3.22-3.51, 1 Mg 3.38, 4 Pr 3.53
Mg (0.0000, 0.4305, 0.5000)  3 Mg 3.29-3.51, 1 Dy 3.38, 4 Pr 3.60

## Properties
- Magnetization: 0.667 μB per cell
- Crystal system: orthorhombic
- Calculated formation energy: 0.0388 eV/atom